{
  "formula": "Rb2LiOF6",
  "functional": "PBE-GGA",
  "state": "relaxed",
  "cell": [[-3.086, 3.086, 4.122], [3.086, -3.086, 4.122], [3.086, 3.086, -4.122]],
  "species": ["Rb", "Rb", "Li", "O", "F", "F", "F", "F", "F", "F"],
  "fractional_positions": [[0.250, 0.750, 0.500], [0.750, 0.250, 0.500], [0.000, 0.000, 0.000], [0.500, 0.500, 0.000], [0.217, 0.217, 0.434], [0.217, 0.783, 0.000], [0.298, 0.298, 0.000], [0.702, 0.702, 0.000], [0.783, 0.217, 0.000], [0.783, 0.783, 0.566]],
  "magnetic_moment_mub_per_cell": 3.02,
  "energy_ev_per_cell": -35.6,
  "crystal_system": "tetragonal",
  "spacegroup": "I4/mmm"
}

***

{
  "formula": "Ag3As",
  "functional": "PBE-GGA",
  "state": "relaxed",
  "cell": [[9.808, 0.000, 0.000], [0.000, 3.033, 0.000], [-1.040, 0.000, 4.934]],
  "species": ["Ag", "Ag", "Ag", "Ag", "Ag", "Ag", "As", "As"],
  "fractional_positions": [[0.000, 0.000, 0.000], [0.246, 0.000, 0.748], [0.254, 0.500, 0.252], [0.500, 0.500, 0.000], [0.746, 0.500, 0.748], [0.754, 0.000, 0.252], [0.000, 0.500, 0.500], [0.500, 0.000, 0.500]],
  "magnetic_moment_mub_per_cell": 0.00,
  "formation_enthalpy_0k_ev_per_atom": 0.103,
  "crystal_system": "monoclinic",
  "spacegroup": "C2/m"
}

***

{
  "formula": "HfTi2Pd",
  "functional": "PBE-GGA",
  "state": "relaxed",
  "cell": [[3.987, 0.000, 0.000], [0.000, 3.987, 0.000], [0.000, 0.000, 4.447]],
  "species": ["Hf", "Ti", "Ti", "Pd"],
  "fractional_positions": [[0.000, 0.000, 0.000], [0.000, 0.500, 0.500], [0.500, 0.000, 0.500], [0.500, 0.500, 0.000]],
  "magnetic_moment_mub_per_cell": 0.84,
  "de_polymorph_ev_per_fu": 0.46,
  "formation_enthalpy_0k_ev_per_atom": -0.209,
  "crystal_system": "tetragonal",
  "spacegroup": "P4/mmm"
}

***

{
  "formula": "Zn4InAu",
  "functional": "PBE-GGA",
  "state": "relaxed",
  "cell": [[0.000, 3.718, 3.718], [3.718, 0.000, 3.718], [3.718, 3.718, 0.000]],
  "species": ["Zn", "Zn", "Zn", "Zn", "In", "Au"],
  "fractional_positions": [[0.376, 0.376, 0.376], [0.376, 0.376, 0.873], [0.376, 0.873, 0.376], [0.873, 0.376, 0.376], [0.000, 0.000, 0.000], [0.750, 0.750, 0.750]],
  "magnetic_moment_mub_per_cell": 0.00,
  "formation_enthalpy_0k_ev_per_atom": 0.012,
  "crystal_system": "cubic",
  "spacegroup": "F-43m"
}